VASP calculation (GGA-PBE) on NaHoSe after structural relaxation.

Lattice parameters (Å, degrees): 13.4620 13.4620 13.4620 17.02 17.02 17.02
Closest atoms and distances in Å follow each position.
Fractional coordinates of all 6 atoms:
Na  0.1256  0.1256  0.1256  3 Se 2.97
Na  0.8744  0.8744  0.8744  3 Se 2.97
Ho  0.3702  0.3702  0.3702  3 Se 2.83
Ho  0.6298  0.6298  0.6298  3 Se 2.83
Se  0.2548  0.2548  0.2548  3 Ho 2.83, 3 Na 2.97
Se  0.7452  0.7452  0.7452  3 Ho 2.83, 3 Na 2.97

N(E_F) = 0.394 states/eV/atom
crystal system = trigonal
volume = 30.40 A^3/atom
energy relative to the elements, uncorrected = -956 meV/atom

=====

VASP calculation (GGA-PBE) on CeDy2U2Ru5 after structural relaxation.

Lattice parameters (Å, degrees): 10.5350 10.5350 3.6329 90.00 90.00 90.00
Closest atoms and distances in Å follow each position.
Fractional coordinates of all 20 atoms:
Ce  0.0000  0.0000  0.0000  8 Ru 2.90
Ce  0.5000  0.5000  0.0000  8 Ru 2.90
Dy  0.1750  0.3250  0.0000  1 U 2.85, 2 Ru 3.18
Dy  0.3250  0.8250  0.0000  1 U 2.85, 2 Ru 3.18
Dy  0.6750  0.1750  0.0000  1 U 2.85, 2 Ru 3.18
Dy  0.8250  0.6750  0.0000  1 U 2.85, 2 Ru 3.18
U  0.1339  0.6339  0.0000  6 Ru 2.61-2.70, 1 Dy 2.85
U  0.3661  0.1339  0.0000  6 Ru 2.61-2.70, 1 Dy 2.85
U  0.6339  0.8661  0.0000  6 Ru 2.61-2.70, 1 Dy 2.85
U  0.8661  0.3661  0.0000  6 Ru 2.61-2.70, 1 Dy 2.85
Ru  0.0000  0.5000  0.5000  4 U 2.70
Ru  0.0532  0.7923  0.5000  2 U 2.61, 2 Ce 2.90
Ru  0.2077  0.0532  0.5000  2 U 2.61, 2 Ce 2.90
Ru  0.2923  0.5532  0.5000  2 U 2.61, 2 Ce 2.90
Ru  0.4468  0.2923  0.5000  2 U 2.61, 2 Ce 2.90
Ru  0.5000  0.0000  0.5000  4 U 2.70
Ru  0.5532  0.7077  0.5000  2 U 2.61, 2 Ce 2.90
Ru  0.7077  0.4468  0.5000  2 U 2.61, 2 Ce 2.90
Ru  0.7923  0.9468  0.5000  2 U 2.61, 2 Ce 2.90
Ru  0.9468  0.2077  0.5000  2 U 2.61, 2 Ce 2.90

N(E_F) = 0.928 states/eV/atom
crystal system = tetragonal
calculated formation energy = -0.29 eV/atom
volume = 20.16 A^3/atom

=====

VASP calculation (GGA-PBE) on SmEuCu after structural relaxation.

Lattice parameters (Å, degrees): 6.9257 6.9257 6.9257 149.61 149.61 43.52
Closest atoms and distances in Å follow each position.
Fractional coordinates of all 3 atoms:
Sm  0.0000  0.0000  0.0000  4 Cu 2.99
Eu  0.7319  0.7319  0.0000  4 Cu 3.21, 1 Sm 3.45
Cu  0.3812  0.3812  0.0000  4 Sm 2.99, 4 Eu 3.21

relative energy among the computed polymorphs = 0.000 eV per atom
N(E_F) = 0.961 states/eV/atom
crystal system = tetragonal
calculated formation energy = -0.06 eV/atom
volume = 28.26 A^3/atom

=====

Number 1: M_tot 1.05 μB/cell. Number 2: M_tot 0.00 μB/cell. Number 3: M_tot 7.32 μB/cell.